(1)
! NaIn4Sn4 | Alexandria via LeMat-Bulk | GGA-PBE | optimized geometry; values from VASP
! magnetization = 0.00 μB per formula unit
! E_tot = -3.1589 eV/atom
! energy of formation from the pure elements = -0.0162 eV per atom
! space group = I4/mmm
&SYSTEM
  ibrav = 0, nat = 9, ntyp = 3
/
ATOMIC_SPECIES
Na 22.99 Na.upf
In 114.82 In.upf
Sn 118.71 Sn.upf
ATOMIC_POSITIONS angstrom
Na -0.415 -2.387 4.429
In -0.151 -0.779 1.465
In 1.327 1.386 12.357
In -0.792 -0.564 7.253
In 1.969 1.171 6.568
Sn -0.527 1.028 4.290
Sn 1.704 -0.421 9.532
Sn 2.107 -2.210 6.731
Sn -0.930 2.817 7.090
CELL_PARAMETERS angstrom
-3.175 0.037 3.475
2.345 -4.811 5.383
2.007 5.380 4.964


(2)
! Na2In3Sn4 | Alexandria via LeMat-Bulk | GGA-PBE | optimized geometry; values from VASP
! magnetization = 0.00 μB per formula unit
! E_tot = -3.0598 eV/atom
! energy of formation from the pure elements = -0.0749 eV per atom
! space group = C2/m
&SYSTEM
  ibrav = 0, nat = 9, ntyp = 3
/
ATOMIC_SPECIES
Na 22.99 Na.upf
In 114.82 In.upf
Sn 118.71 Sn.upf
ATOMIC_POSITIONS angstrom
Na -2.402 -0.379 2.251
Na -8.029 -4.510 7.985
In -5.595 -4.006 5.727
In 0.000 0.000 0.000
In -4.835 -0.883 4.508
Sn -5.180 -1.940 1.292
Sn -7.275 -1.415 6.793
Sn -3.155 -3.475 3.442
Sn -5.251 -2.949 8.943
CELL_PARAMETERS angstrom
-4.435 1.120 0.106
-3.530 -4.651 0.211
-2.466 -1.358 9.918


(3)
! NaIn6Sn3 | Alexandria via LeMat-Bulk | GGA-PBE | optimized geometry; values from VASP
! magnetization = 0.00 μB per formula unit
! E_tot = -2.9226 eV/atom
! energy of formation from the pure elements = 0.0532 eV per atom
! space group = P2_1/c
&SYSTEM
  ibrav = 0, nat = 20, ntyp = 3
/
ATOMIC_SPECIES
Na 22.99 Na.upf
In 114.82 In.upf
Sn 118.71 Sn.upf
ATOMIC_POSITIONS angstrom
Na -7.691 -0.261 2.104
Na 0.000 0.000 0.000
In -6.683 3.533 6.381
In -9.362 0.803 5.220
In -10.482 -1.466 3.173
In -4.900 0.943 1.035
In -6.020 -1.325 -1.011
In -8.699 -4.056 -2.173
In -10.349 1.695 2.350
In -10.562 -4.628 3.940
In -9.288 3.968 4.461
In -6.094 -4.490 -0.253
In -4.820 4.106 0.268
In -5.033 -2.218 1.859
Sn -3.255 0.171 -1.648
Sn -4.384 3.031 3.427
Sn -12.127 -0.694 5.857
Sn -7.921 -3.902 2.358
Sn -3.307 -3.292 -1.323
Sn -7.461 3.379 1.850
CELL_PARAMETERS angstrom
-2.559 3.630 -2.611
-6.614 -6.585 -2.646
-6.210 2.433 9.466


(4)
! NaIn2Sn2 | Alexandria via LeMat-Bulk | GGA-PBE | optimized geometry; values from VASP
! magnetization = 0.00 μB per formula unit
! E_tot = -2.9999 eV/atom
! energy of formation from the pure elements = -0.0396 eV per atom
! space group = I4/mmm
&SYSTEM
  ibrav = 0, nat = 5, ntyp = 3
/
ATOMIC_SPECIES
Na 22.99 Na.upf
Sn 118.71 Sn.upf
In 114.82 In.upf
ATOMIC_POSITIONS angstrom
Na 0.000 0.000 0.000
Sn -3.334 -1.483 1.533
Sn -7.327 -1.972 4.023
In -6.292 -1.014 1.375
In -4.368 -2.441 4.181
CELL_PARAMETERS angstrom
-4.640 -0.988 -2.170
-0.792 -3.841 3.441
-5.228 1.373 4.284


(5)
! NaInSn6 | Alexandria via LeMat-Bulk | GGA-PBE | optimized geometry; values from VASP
! magnetization = 0.00 μB per formula unit
! E_tot = -3.4702 eV/atom
! energy of formation from the pure elements = 0.0391 eV per atom
! space group = C2/m
&SYSTEM
  ibrav = 0, nat = 8, ntyp = 3
/
ATOMIC_SPECIES
Na 22.99 Na.upf
In 114.82 In.upf
Sn 118.71 Sn.upf
ATOMIC_POSITIONS angstrom
Na 0.000 0.000 0.000
In 1.944 -3.068 0.109
Sn 4.382 -1.978 1.268
Sn -0.546 -2.513 2.239
Sn -0.493 -4.157 -1.050
Sn 2.523 -4.656 2.970
Sn 4.434 -3.623 -2.020
Sn 1.365 -1.480 -2.751
CELL_PARAMETERS angstrom
-3.652 -3.416 3.970
0.260 -1.301 -6.246
7.280 -1.419 2.494


(6)
! Na3InSn | Alexandria via LeMat-Bulk | GGA-PBE | optimized geometry; values from VASP
! magnetization = 0.00 μB per formula unit
! E_tot = -1.7836 eV/atom
! energy of formation from the pure elements = 0.3561 eV per atom
! space group = Pm-3m
&SYSTEM
  ibrav = 0, nat = 5, ntyp = 3
/
ATOMIC_SPECIES
Na 22.99 Na.upf
Sn 118.71 Sn.upf
In 114.82 In.upf
ATOMIC_POSITIONS angstrom
Na 0.000 2.859 0.000
Na 0.000 0.000 2.859
Na 2.859 0.000 0.000
Sn 2.859 2.859 2.859
In 0.000 0.000 0.000
CELL_PARAMETERS angstrom
5.718 0.000 0.000
0.000 5.718 0.000
0.000 0.000 5.718